Entry 1:
As3Se | PBE-GGA | relaxed

abc: 4.693 3.910 4.957
angles: 90.00 109.24 90.00
Element x y z (fractional)
As 0.000 0.000 0.000
As 0.260 0.500 0.781
As 0.740 0.500 0.219
Se 0.500 0.000 0.500

Computed properties:
For the uncorrected energy, the calculation gives -4.2692 eV per atom.

Entry 2:
AsSe | PBE-GGA | relaxed

abc: 6.816 6.816 6.816
angles: 90.00 90.00 90.00
Element x y z (fractional)
As 0.125 0.125 0.125
As 0.125 0.625 0.625
As 0.375 0.375 0.875
As 0.375 0.875 0.375
As 0.625 0.125 0.625
As 0.625 0.625 0.125
As 0.875 0.375 0.375
As 0.875 0.875 0.875
Se 0.125 0.125 0.625
Se 0.125 0.625 0.125
Se 0.375 0.375 0.375
Se 0.375 0.875 0.875
Se 0.625 0.125 0.125
Se 0.625 0.625 0.625
Se 0.875 0.375 0.875
Se 0.875 0.875 0.375

Computed properties:
For the uncorrected energy, the calculation gives -3.5717 eV per atom.

Repeat the first record exactly.
As3Se | PBE-GGA | relaxed

abc: 4.693 3.910 4.957
angles: 90.00 109.24 90.00
Element x y z (fractional)
As 0.000 0.000 0.000
As 0.260 0.500 0.781
As 0.740 0.500 0.219
Se 0.500 0.000 0.500

Computed properties:
For the uncorrected energy, the calculation gives -4.2692 eV per atom.